## Pr3SmY6 (PBE-GGA)

Data for an optimized crystal structure of Pr3SmY6.

Its energy above the most stable polymorph in this dataset is 0 meV per atom.

The structure belongs to space group Cmc2_1 (No. 36); the cell edges are 11.0295, 19.0552 and 6.4642 Å and the angles 90.00°, 90.00° and 90.00°. The distinct sites, in fractional coordinates, are Pr at (0.0000, 0.1129, 0.0000), Pr at (0.1793, 0.3856, 0.3928), Sm at (0.0000, 0.3081, 0.0681), Y at (0.0000, 0.2324, 0.5903), Y at (0.0000, 0.4613, 0.7909), Y at (0.1681, 0.0442, 0.4813) and Y at (0.2368, 0.2084, 0.3050).

***

## LaZrIr (PBE-GGA)

Data for an optimized crystal structure of LaZrIr.

Its energy above the most stable polymorph in this dataset is 286 meV per atom.

The structure belongs to space group P3m1 (No. 156); the cell edges are 4.4399, 4.4399 and 4.5578 Å and the angles 90.00°, 90.00° and 120.00°. The distinct sites, in fractional coordinates, are La at (0.0000, 0.0000, 0.0000), Zr at (0.6667, 0.3333, 0.4882) and Ir at (0.3333, 0.6667, 0.5980).

***

## YPu2Pb9 (PBE-GGA)

Data for an optimized crystal structure of YPu2Pb9.

The structure belongs to space group P4/mmm (No. 123); the cell edges are 5.6359, 5.6359 and 11.2293 Å and the angles 90.00°, 90.00° and 90.00°. The distinct sites, in fractional coordinates, are Y at (0.0000, 0.0000, 0.0000), Pu at (0.0000, 0.0000, 0.3322), Pb at (0.0000, 0.5000, 0.1629), Pb at (0.0000, 0.5000, 0.5000), Pb at (0.5000, 0.5000, 0.0000) and Pb at (0.5000, 0.5000, 0.3311).

***

These records have size of the total moment values of 0.0; 0.0; 11.4 μB/cell, in the order they appear.
These records have calculated formation energy values of 0.139; -0.380; -0.106 eV/atom, in the order they appear.